This record from Alexandria describes a relaxed structure of Li2CoO3. The functional is GGA-PBEsol.

a b c (Å): 4.841 4.841 4.928
angles (deg): 99.62 99.62 119.93
Last column: magnetic moment on the atom in μB.
Positions (direct):
Li 0.161 0.839 0.500  0.00
Li 0.839 0.161 0.500  0.00
Li 0.500 0.500 0.500  0.00
Li 0.000 0.000 0.000  0.01
O 0.075 0.436 0.222  0.07
O 0.564 0.925 0.778  0.07
O 0.284 0.284 0.774  0.06
O 0.925 0.564 0.778  0.07
O 0.716 0.716 0.226  0.06
O 0.436 0.075 0.222  0.07
Co 0.667 0.333 0.000  0.74
Co 0.333 0.667 0.000  0.74

Summary:
Space group ... C2/m, No. 12
Uncorrected formation energy ... -9.55 eV/f.u.
Total DFT energy (no corrections) ... -73.94 eV/cell

This record from Alexandria describes a relaxed structure of LiCoO2. The functional is GGA-PBEsol.

a b c (Å): 2.816 2.816 4.865
angles (deg): 73.18 73.18 60.00
Positions (direct):
O 0.261 0.261 0.217
O 0.739 0.739 0.783
Li 0.500 0.500 0.500
Co 0.000 0.000 0.000

Summary:
Space group ... R-3m, No. 166
Uncorrected formation energy ... -6.07 eV/f.u.
Total DFT energy (no corrections) ... -26.27 eV/cell

This record from Alexandria describes a relaxed structure of Li3Co2O5. The functional is GGA-PBEsol.

a b c (Å): 2.804 5.664 10.118
angles (deg): 97.65 97.97 90.00
Last column: magnetic moment on the atom in μB.
Positions (direct):
O 0.395 0.922 0.789  0.01
O 0.992 0.748 0.984  0.25
O 0.804 0.676 0.609  0.01
O 0.605 0.078 0.211  0.01
O 0.008 0.252 0.016  0.25
O 0.205 0.878 0.410  0.01
O 0.795 0.122 0.590  0.01
O 0.196 0.324 0.391  0.01
O 0.398 0.474 0.797  0.03
O 0.602 0.526 0.203  0.03
Co 0.902 0.696 0.805  0.54
Co 0.700 0.100 0.400  0.11
Co 0.300 0.900 0.600  0.11
Co 0.098 0.304 0.195  0.54
Li 0.092 0.786 0.184  0.00
Li 0.300 0.398 0.601  0.00
Li 0.500 0.500 0.000  0.00
Li 0.500 0.000 0.000  0.00
Li 0.700 0.602 0.399  0.00
Li 0.908 0.214 0.816  0.00

Summary:
Space group ... C2/m, No. 12
Uncorrected formation energy ... -15.42 eV/f.u.
Total DFT energy (no corrections) ... -126.09 eV/cell

This record from Alexandria describes a relaxed structure of LiCo2P2O9. The functional is GGA-PBEsol.

a b c (Å): 5.973 7.219 13.470
angles (deg): 90.00 90.00 90.00
Last column: magnetic moment on the atom in μB.
Positions (direct):
P 0.250 0.595 0.305  0.00
P 0.750 0.644 0.063  0.00
P 0.750 0.856 0.563  0.00
P 0.750 0.405 0.695  0.00
P 0.250 0.356 0.937  0.00
P 0.750 0.095 0.195  0.00
P 0.250 0.905 0.805  0.00
P 0.250 0.144 0.437  0.00
O 0.055 0.352 0.863  0.02
O 0.535 0.077 0.133  0.00
O 0.750 0.361 0.459  0.15
O 0.945 0.648 0.137  0.02
O 0.465 0.923 0.867  0.00
O 0.055 0.148 0.363  0.02
O 0.750 0.666 0.504  -0.01
O 0.750 0.139 0.959  0.15
O 0.250 0.458 0.216  0.00
O 0.035 0.577 0.367  0.00
O 0.750 0.218 0.755  0.00
O 0.035 0.923 0.867  0.00
O 0.445 0.148 0.363  0.02
O 0.250 0.166 0.996  -0.01
O 0.750 0.017 0.493  0.03
O 0.250 0.718 0.745  0.00
O 0.965 0.077 0.133  0.00
O 0.750 0.282 0.255  0.00
O 0.445 0.352 0.863  0.02
O 0.555 0.852 0.637  0.02
O 0.945 0.852 0.637  0.02
O 0.250 0.983 0.507  0.03
O 0.250 0.782 0.245  0.00
O 0.250 0.861 0.041  0.15
O 0.750 0.542 0.784  0.00
O 0.250 0.334 0.496  -0.01
O 0.250 0.639 0.541  0.15
O 0.750 0.834 0.004  -0.01
O 0.750 0.958 0.284  0.00
O 0.250 0.517 0.007  0.03
O 0.750 0.483 0.993  0.03
O 0.965 0.423 0.633  0.00
O 0.535 0.423 0.633  0.00
O 0.250 0.042 0.716  0.00
O 0.465 0.577 0.367  0.00
O 0.555 0.648 0.137  0.02
Li 0.750 0.937 0.778  0.00
Li 0.250 0.063 0.222  0.00
Li 0.250 0.437 0.722  0.00
Li 0.750 0.563 0.278  0.00
Co 0.750 0.156 0.378  0.37
Co 0.500 0.000 0.000  0.22
Co 0.250 0.844 0.622  0.37
Co 0.750 0.344 0.878  0.37
Co 0.500 0.500 0.500  0.22
Co 0.000 0.000 0.000  0.22
Co 0.000 0.500 0.500  0.22
Co 0.250 0.656 0.122  0.37

Summary:
Space group ... Pnma, No. 62
Uncorrected formation energy ... -23.85 eV/f.u.
Total DFT energy (no corrections) ... -400.49 eV/cell

This record from Alexandria describes a relaxed structure of LiCoP2O7. The functional is GGA-PBEsol.

a b c (Å): 4.874 7.482 8.516
angles (deg): 104.13 90.00 109.01
Last column: magnetic moment on the atom in μB.
Positions (direct):
O 0.774 0.623 0.670  0.01
O 0.464 0.186 0.912  0.06
O 0.269 0.812 0.592  0.09
O 0.032 0.995 0.257  0.01
O 0.543 0.812 0.092  0.09
O 0.722 0.186 0.412  0.06
O 0.849 0.623 0.170  0.01
O 0.818 0.193 0.123  0.06
O 0.235 0.364 0.345  0.01
O 0.963 0.995 0.757  0.01
O 0.196 0.804 0.884  0.09
O 0.375 0.193 0.623  0.06
O 0.608 0.804 0.384  0.09
O 0.129 0.364 0.845  0.01
Co 0.492 0.997 0.502  1.59
Co 0.504 0.997 0.002  1.59
P 0.751 0.793 0.220  0.00
P 0.962 0.198 0.289  0.00
P 0.236 0.198 0.789  0.00
P 0.042 0.793 0.720  0.00
Li 0.535 0.415 0.509  0.00
Li 0.880 0.415 0.009  0.00

Summary:
Space group ... Cc, No. 9
Uncorrected formation energy ... -20.50 eV/f.u.
Total DFT energy (no corrections) ... -157.06 eV/cell

This record from Alexandria describes a relaxed structure of Li2CoP2O7. The functional is GGA-PBEsol.

a b c (Å): 4.954 6.972 8.607
angles (deg): 102.50 105.90 108.50
Last column: magnetic moment on the atom in μB.
Positions (direct):
O 0.043 0.837 0.247  0.06
O 0.950 0.490 0.312  0.01
O 0.520 0.234 0.571  0.05
O 0.782 0.109 0.142  0.04
O 0.218 0.891 0.858  0.04
O 0.312 0.636 0.011  0.01
O 0.957 0.163 0.753  0.06
O 0.384 0.266 0.177  0.04
O 0.092 0.834 0.546  0.05
O 0.908 0.166 0.454  0.05
O 0.688 0.364 0.989  0.01
O 0.616 0.734 0.823  0.04
O 0.480 0.766 0.429  0.05
O 0.050 0.510 0.688  0.01
Li 0.625 0.875 0.244  0.00
Li 0.110 0.328 0.996  0.00
Li 0.375 0.125 0.756  0.00
Li 0.890 0.672 0.004  0.00
P 0.852 0.259 0.612  0.01
P 0.148 0.741 0.388  0.01
P 0.682 0.294 0.145  0.01
P 0.318 0.706 0.855  0.01
Co 0.801 0.833 0.661  2.59
Co 0.199 0.167 0.339  2.59

Summary:
Space group ... P-1, No. 2
Uncorrected formation energy ... -23.84 eV/f.u.
Total DFT energy (no corrections) ... -167.67 eV/cell